[1]
# Tl2Ga2Br7 | the Alexandria database | PBE | relaxed
# uncorrected formation energy	-810	kJ/mol of formula units
data_Tl2Ga2Br7
_cell_length_a 10.725
_cell_length_b 12.927
_cell_length_c 6.821
_cell_angle_alpha 90.00
_cell_angle_beta 100.95
_cell_angle_gamma 90.00
_space_group_name_H-M_alt 'C 1 2/m 1'
_space_group_IT_number 12
loop_
_space_group_symop_operation_xyz
'x,y,z'
'-x,-y,-z'
'-x,y,-z'
'x,-y,z'
'x+1/2,y+1/2,z'
'-x+1/2,-y+1/2,-z'
'-x+1/2,y+1/2,-z'
'x+1/2,-y+1/2,z'
loop_
_atom_site_label
_atom_site_type_symbol
_atom_site_fract_x
_atom_site_fract_y
_atom_site_fract_z
Tl1 Tl 0.000 0.205 0.000
Ga1 Ga 0.224 0.500 0.422
Br1 Br 0.000 0.500 0.500
Br2 Br 0.119 0.000 0.268
Br3 Br 0.245 0.155 0.766


[2]
# Tl3GaBr | the Alexandria database | PBE | relaxed
# uncorrected formation energy	111	kJ/mol of formula units
# E above lowest polymorph	0.304	eV per atom
data_Tl3GaBr
_cell_length_a 6.058
_cell_length_b 6.058
_cell_length_c 6.058
_cell_angle_alpha 90.00
_cell_angle_beta 90.00
_cell_angle_gamma 90.00
_space_group_name_H-M_alt 'P m -3 m'
_space_group_IT_number 221
_space_group_name_Hall '-P 4 2 3'
loop_
_atom_site_label
_atom_site_type_symbol
_atom_site_fract_x
_atom_site_fract_y
_atom_site_fract_z
Tl1 Tl 0.000 0.000 0.500
Ga1 Ga 0.500 0.500 0.500
Br1 Br 0.000 0.000 0.000


[3]
# Tl2GaBr4 | the Alexandria database | PBE | relaxed
# uncorrected formation energy	-501	kJ/mol of formula units
# E above lowest polymorph	0.000	eV per atom
data_Tl2GaBr4
_cell_length_a 5.332
_cell_length_b 5.332
_cell_length_c 16.848
_cell_angle_alpha 90.00
_cell_angle_beta 90.00
_cell_angle_gamma 90.00
_space_group_name_H-M_alt 'I 4/m m m'
_space_group_IT_number 139
_space_group_name_Hall '-I 4 2'
loop_
_atom_site_label
_atom_site_type_symbol
_atom_site_fract_x
_atom_site_fract_y
_atom_site_fract_z
Tl1 Tl 0.000 0.000 0.144
Ga1 Ga 0.000 0.000 0.500
Br1 Br 0.000 0.000 0.334
Br2 Br 0.000 0.500 0.000


[4]
# TlGaBr3 | the Alexandria database | PBE | relaxed
# uncorrected formation energy	-337	kJ/mol of formula units
# E above lowest polymorph	0.148	eV per atom
data_TlGaBr3
_cell_length_a 5.410
_cell_length_b 5.410
_cell_length_c 5.410
_cell_angle_alpha 90.00
_cell_angle_beta 90.00
_cell_angle_gamma 90.00
_space_group_name_H-M_alt 'P m -3 m'
_space_group_IT_number 221
_space_group_name_Hall '-P 4 2 3'
loop_
_atom_site_label
_atom_site_type_symbol
_atom_site_fract_x
_atom_site_fract_y
_atom_site_fract_z
Tl1 Tl 0.000 0.000 0.000
Ga1 Ga 0.500 0.500 0.500
Br1 Br 0.000 0.500 0.500


[5]
# TlGaBr3 | the Alexandria database | PBE | relaxed
# uncorrected formation energy	-341	kJ/mol of formula units
# E above lowest polymorph	0.140	eV per atom
data_TlGaBr3
_cell_length_a 7.6475
_cell_length_b 7.6475
_cell_length_c 19.1071
_cell_angle_alpha 90.00
_cell_angle_beta 90.00
_cell_angle_gamma 120.00
_space_group_name_H-M_alt 'R 3 c'
_space_group_IT_number 161
_space_group_name_Hall 'R 3 -2"c'
loop_
_atom_site_label
_atom_site_type_symbol
_atom_site_fract_x
_atom_site_fract_y
_atom_site_fract_z
Tl1 Tl 0.0000 0.0000 0.0000
Ga1 Ga 0.0000 0.0000 0.2690
Br1 Br 0.0027 0.4536 0.0306


[6]
# TlGaBr5 | the Alexandria database | PBE | relaxed
# uncorrected formation energy	-482	kJ/mol of formula units
data_TlGaBr5
_cell_length_a 7.902
_cell_length_b 8.109
_cell_length_c 9.907
_cell_angle_alpha 103.48
_cell_angle_beta 110.16
_cell_angle_gamma 99.89
_space_group_name_H-M_alt 'P -1'
_space_group_IT_number 2
loop_
_space_group_symop_operation_xyz
'x,y,z'
'-x,-y,-z'
loop_
_atom_site_label
_atom_site_type_symbol
_atom_site_fract_x
_atom_site_fract_y
_atom_site_fract_z
Tl1 Tl 0.000 0.000 0.000
Tl2 Tl 0.000 0.500 0.500
Ga1 Ga 0.448 0.169 0.775
Br1 Br 0.146 0.198 0.276
Br2 Br 0.216 0.735 0.101
Br3 Br 0.332 0.885 0.600
Br4 Br 0.346 0.213 0.977
Br5 Br 0.385 0.386 0.653


[7]
# Tl2GaBr | the Alexandria database | PBE | relaxed
# uncorrected formation energy	-25	kJ/mol of formula units
# E above lowest polymorph	0.033	eV per atom
data_Tl2GaBr
_cell_length_a 7.793
_cell_length_b 7.793
_cell_length_c 7.793
_cell_angle_alpha 90.00
_cell_angle_beta 90.00
_cell_angle_gamma 90.00
_space_group_name_H-M_alt 'F m -3 m'
_space_group_IT_number 225
_space_group_name_Hall '-F 4 2 3'
loop_
_atom_site_label
_atom_site_type_symbol
_atom_site_fract_x
_atom_site_fract_y
_atom_site_fract_z
Tl1 Tl 0.250 0.250 0.250
Ga1 Ga 0.000 0.000 0.000
Br1 Br 0.000 0.000 0.500


[8]
# Tl2GaBr4 | the Alexandria database | PBE | relaxed
# uncorrected formation energy	-458	kJ/mol of formula units
# E above lowest polymorph	0.064	eV per atom
data_Tl2GaBr4
_cell_length_a 7.791
_cell_length_b 7.791
_cell_length_c 12.265
_cell_angle_alpha 90.00
_cell_angle_beta 90.00
_cell_angle_gamma 90.00
_space_group_name_H-M_alt 'I -4 2 m'
_space_group_IT_number 121
_space_group_name_Hall 'I -4 2'
loop_
_atom_site_label
_atom_site_type_symbol
_atom_site_fract_x
_atom_site_fract_y
_atom_site_fract_z
Tl1 Tl 0.000 0.500 0.250
Ga1 Ga 0.000 0.000 0.000
Br1 Br 0.198 0.198 0.117


[9]
# Tl3GaBr | the Alexandria database | PBE | relaxed
# uncorrected formation energy	-35	kJ/mol of formula units
# E above lowest polymorph	0.000	eV per atom
data_Tl3GaBr
_cell_length_a 5.594
_cell_length_b 5.594
_cell_length_c 5.594
_cell_angle_alpha 90.00
_cell_angle_beta 90.00
_cell_angle_gamma 90.00
_space_group_name_H-M_alt 'P m -3 m'
_space_group_IT_number 221
_space_group_name_Hall '-P 4 2 3'
loop_
_atom_site_label
_atom_site_type_symbol
_atom_site_fract_x
_atom_site_fract_y
_atom_site_fract_z
Tl1 Tl 0.000 0.000 0.500
Ga1 Ga 0.000 0.000 0.000
Br1 Br 0.500 0.500 0.500


[10]
# Tl2GaBr2 | the Alexandria database | PBE | relaxed
# uncorrected formation energy	-183	kJ/mol of formula units
# E above lowest polymorph	0.053	eV per atom
data_Tl2GaBr2
_cell_length_a 8.322
_cell_length_b 8.322
_cell_length_c 4.708
_cell_angle_alpha 90.00
_cell_angle_beta 90.00
_cell_angle_gamma 90.00
_space_group_name_H-M_alt 'P 4/m b m'
_space_group_IT_number 127
_space_group_name_Hall '-P 4 2ab'
loop_
_atom_site_label
_atom_site_type_symbol
_atom_site_fract_x
_atom_site_fract_y
_atom_site_fract_z
Tl1 Tl 0.155 0.345 0.000
Ga1 Ga 0.000 0.000 0.000
Br1 Br 0.164 0.664 0.500


[11]
# TlGa3Br8 | the Alexandria database | PBE | relaxed
# uncorrected formation energy	-931	kJ/mol of formula units
data_TlGa3Br8
_cell_length_a 11.543
_cell_length_b 7.956
_cell_length_c 10.388
_cell_angle_alpha 90.00
_cell_angle_beta 92.02
_cell_angle_gamma 90.00
_space_group_name_H-M_alt 'C 1 2/m 1'
_space_group_IT_number 12
loop_
_space_group_symop_operation_xyz
'x,y,z'
'-x,-y,-z'
'-x,y,-z'
'x,-y,z'
'x+1/2,y+1/2,z'
'-x+1/2,-y+1/2,-z'
'-x+1/2,y+1/2,-z'
'x+1/2,-y+1/2,z'
loop_
_atom_site_label
_atom_site_type_symbol
_atom_site_fract_x
_atom_site_fract_y
_atom_site_fract_z
Tl1 Tl 0.000 0.000 0.000
Ga1 Ga 0.000 0.000 0.500
Ga2 Ga 0.113 0.500 0.259
Br1 Br 0.011 0.259 0.737
Br2 Br 0.209 0.500 0.063
Br3 Br 0.231 0.500 0.448


[12]
# TmTlGa2Br6 | the Alexandria database | PBE | relaxed
# uncorrected formation energy	-1094	kJ/mol of formula units
data_TmTlGa2Br6
_cell_length_a 7.796
_cell_length_b 7.805
_cell_length_c 8.296
_cell_angle_alpha 62.00
_cell_angle_beta 61.99
_cell_angle_gamma 60.07
_space_group_name_H-M_alt 'P 1'
_space_group_IT_number 1
loop_
_space_group_symop_operation_xyz
'x,y,z'
loop_
_atom_site_label
_atom_site_type_symbol
_atom_site_fract_x
_atom_site_fract_y
_atom_site_fract_z
Tm1 Tm 0.000 0.000 0.000
Tl1 Tl 0.490 0.490 0.532
Ga1 Ga 0.191 0.191 0.426
Ga2 Ga 0.683 0.682 0.953
Br1 Br 0.068 0.373 0.746
Br2 Br 0.239 0.911 0.210
Br3 Br 0.373 0.814 0.745
Br4 Br 0.641 0.238 0.211
Br5 Br 0.813 0.067 0.746
Br6 Br 0.911 0.641 0.211


Number 1: total moment 0.0 μB per formula unit. Number 2: total moment 0.0 μB per formula unit. Number 3: total moment 0.0 μB per formula unit. Number 4: total moment 0.0 μB per formula unit. Number 5: total moment 0.0 μB per formula unit. Number 6: total moment 0.0 μB per formula unit. Number 7: total moment 0.0 μB per formula unit. Number 8: total moment 0.5 μB per formula unit. Number 9: total moment 0.0 μB per formula unit. Number 10: total moment 0.0 μB per formula unit. Number 11: total moment 0.0 μB per formula unit. Number 12: total moment 0.0 μB per formula unit.